(1)
VASP calculation (PBE-GGA) on a geometry-optimized Na2CuSnO4 structure.

Cell lengths 5.240, 5.240, 5.240 Å; angles 100.85, 113.95, 113.95 degrees
Sites, in units of the cell vectors:
O 0.092 0.235 0.693
Na 0.000 0.000 0.000
Cu 0.000 0.500 0.500
O 0.457 0.857 0.765
Sn 0.500 0.250 0.750
Na 0.500 0.750 0.250
O 0.543 0.307 0.399
O 0.908 0.601 0.143

Calculated values
Crystal system: tetragonal
Formation energy without anion corrections, meV per atom: -1286


(2)
VASP calculation (PBE-GGA) on a geometry-optimized MnZn2Ir structure.

Cell lengths 4.478, 4.478, 2.916 Å; angles 90.00, 90.00, 105.17 degrees
Sites, in units of the cell vectors:
Zn 0.000 0.000 0.000
Mn 0.000 0.500 0.500
Ir 0.500 0.000 0.500
Zn 0.500 0.500 0.000

Calculated values
Crystal system: orthorhombic
D(E_F), states/eV per cell: 2.44
ΔH_f (0 K), meV per atom: -81


(3)
VASP calculation (PBE-GGA) on a geometry-optimized Pa3Co2Si2 structure.

Cell lengths 4.121, 3.744, 9.039 Å; angles 101.95, 103.18, 90.00 degrees
Sites, in units of the cell vectors:
Si 0.137 0.637 0.273
Si 0.863 0.363 0.727
Pa 0.684 0.184 0.368
Pa 0.000 0.000 0.000
Co 0.428 0.428 0.856
Pa 0.316 0.816 0.632
Co 0.572 0.572 0.144

Calculated values
Crystal system: orthorhombic
E above lowest polymorph, eV/atom: 0.076
D(E_F), states/eV per cell: 9.30
Formation energy without anion corrections, meV per atom: -517


(4)
VASP calculation (PBE-GGA) on a geometry-optimized YZnPt2 structure.

Cell lengths 5.675, 7.169, 7.254 Å; angles 90.00, 90.00, 90.00 degrees
Sites, in units of the cell vectors:
Pt 0.419 0.951 0.311
Pt 0.081 0.951 0.811
Zn 0.852 0.250 0.889
Pt 0.081 0.549 0.811
Zn 0.148 0.750 0.111
Y 0.355 0.250 0.027
Pt 0.919 0.451 0.189
Pt 0.581 0.049 0.689
Zn 0.648 0.250 0.389
Y 0.645 0.750 0.973
Pt 0.919 0.049 0.189
Zn 0.352 0.750 0.611
Pt 0.419 0.549 0.311
Y 0.145 0.250 0.527
Pt 0.581 0.451 0.689
Y 0.855 0.750 0.473

Calculated values
Crystal system: orthorhombic
D(E_F), states/eV per cell: 8.71
ΔH_f (0 K), meV per atom: -920


(5)
VASP calculation (PBE-GGA) on a geometry-optimized Ba2NaPb2 structure.

Cell lengths 6.937, 6.937, 6.871 Å; angles 59.68, 59.68, 90.00 degrees
Sites, in units of the cell vectors:
Ba 0.750 0.250 0.500
Pb 0.656 0.656 0.689
Na 0.000 0.000 0.000
Pb 0.344 0.344 0.311
Ba 0.250 0.750 0.500

Calculated values
Crystal system: tetragonal
E above lowest polymorph, eV/atom: 0.241
D(E_F), states/eV per cell: 5.89
ΔH_f (0 K), meV per atom: -193


(6)
VASP calculation (PBE-GGA) on a geometry-optimized Rb3PaGa2O8 structure.

Cell lengths 6.096, 6.096, 8.130 Å; angles 90.00, 90.00, 120.00 degrees
Sites, in units of the cell vectors:
O 0.167 0.334 0.344
Rb 0.667 0.333 0.299
Rb 0.000 0.000 0.000
Ga 0.333 0.667 0.267
O 0.666 0.833 0.344
Ga 0.667 0.333 0.733
O 0.334 0.167 0.656
Rb 0.333 0.667 0.701
Pa 0.000 0.000 0.500
O 0.667 0.333 0.960
O 0.833 0.167 0.656
O 0.333 0.667 0.040
O 0.167 0.833 0.344
O 0.833 0.666 0.656

Calculated values
Crystal system: trigonal
D(E_F), states/eV per cell: 10.22
Formation energy without anion corrections, meV per atom: -1991